[1]
TiVPb after structural relaxation. Source: Alexandria via LeMat-Bulk, functional PBE.

Values from the calculation:
Space group   P-62m
Formation energy from the elements   0.499 eV/atom

Structure (POSCAR):
```
TiVPb
1.0
4.252 0.000 0.000
0.000 6.952 0.000
0.000 -3.476 6.021
Ti Pb V
3 3 3
direct
0.500 0.667 0.333
0.500 0.333 0.667
0.000 0.000 0.000
0.000 0.577 0.577
0.000 0.000 0.423
0.000 0.423 0.000
0.500 0.000 0.798
0.500 0.798 0.000
0.500 0.202 0.202
```


[2]
BaNiRh2 after structural relaxation. Source: Alexandria via LeMat-Bulk, functional PBE.

Values from the calculation:
Space group   C2/m
Formation energy from the elements   0.593 eV/atom

Structure (POSCAR):
```
BaNiRh2
1.0
-4.327 0.081 -2.494
0.245 -3.747 4.290
-1.467 1.379 2.258
Ba Ni Rh
1 1 2
direct
0.000 0.500 0.500
0.500 0.500 0.000
0.000 0.000 0.000
0.500 0.000 0.500
```


[3]
CdCoSe after structural relaxation. Source: Alexandria via LeMat-Bulk, functional PBE.

Values from the calculation:
Space group   P3m1
Energy above the most stable polymorph in this dataset   0 meV/atom
Uncorrected formation energy   -18 meV/atom

Structure (POSCAR):
```
CdCoSe
1.0
-2.325 0.464 2.252
2.617 -1.829 0.705
2.897 4.909 1.980
Cd Co Se
1 1 1
direct
0.000 0.000 0.039
0.667 0.333 0.375
0.333 0.667 0.586
```


[4]
Li2SnPd9 after structural relaxation. Source: Alexandria via LeMat-Bulk, functional PBE.

Values from the calculation:
Space group   P4/mmm
Formation energy from the elements   -0.319 eV/atom

Structure (POSCAR):
```
Li2SnPd9
1.0
3.980 0.000 0.000
0.000 3.980 0.000
0.000 0.000 11.608
Li Sn Pd
2 1 9
direct
0.000 0.000 0.338
0.000 0.000 0.662
0.000 0.000 0.000
0.500 0.500 0.000
0.500 0.500 0.339
0.500 0.500 0.661
0.500 0.000 0.174
0.500 0.000 0.500
0.500 0.000 0.826
0.000 0.500 0.174
0.000 0.500 0.500
0.000 0.500 0.826
```


Number 1: density of states at the Fermi level 3.41 states/eV/f.u.. Number 2: density of states at the Fermi level 7.53 states/eV/f.u.. Number 3: density of states at the Fermi level 2.45 states/eV/f.u.. Number 4: density of states at the Fermi level 13.48 states/eV/f.u..